The following is a DFT calculation (GGA-PBE) of Zn2AsIr after structural relaxation.

Values from the calculation:
Symmetry: Pmmm
Formation energy, eV per atom: 0.0101
Total magnetization, μB/cell: 0.0
Raw total energy, eV/atom: -4.005

Geometry as POSCAR:
```
Zn2AsIr
1.0
3.107 0.000 0.000
0.000 3.733 0.000
0.000 0.000 5.241
Zn As Ir
2 1 1
Cartesian
0.000 0.000 1.249 Zn
0.000 0.000 3.992 Zn
1.554 1.867 2.621 As
1.554 1.867 0.000 Ir
```